Entry 1:
# AcSm3Dy6Tm2

AcSm3Dy6Tm2 after structural relaxation (PBE, Alexandria).

ΔH_f (0 K) ... 0.030 eV/atom
Symmetry ... C2/m, No. 12

a b c (Å): 6.2155 6.2155 11.9046
angles (deg): 94.98 94.98 119.97
Last column: nearest neighbours and their distance in Å.
Sites, in units of the cell vectors:
Ac (0.0000, 0.0000, 0.0000)  6 Tm 3.59, 6 Dy 3.62
Sm (0.1671, 0.8329, 0.5000)  6 Dy 3.56-3.58, 6 Sm 3.58-3.60
Sm (0.5000, 0.5000, 0.5000)  6 Dy 3.56-3.58, 6 Sm 3.58-3.59
Sm (0.8329, 0.1671, 0.5000)  6 Dy 3.56-3.58, 6 Sm 3.58-3.60
Dy (0.0837, 0.4204, 0.2515)  3 Sm 3.56-3.58, 6 Dy 3.57-3.63, 2 Tm 3.60, 1 Ac 3.62
Dy (0.2530, 0.2530, 0.7484)  3 Sm 3.56-3.58, 6 Dy 3.57-3.63, 2 Tm 3.60, 1 Ac 3.62
Dy (0.4204, 0.0837, 0.2515)  3 Sm 3.56-3.58, 6 Dy 3.57-3.63, 2 Tm 3.60, 1 Ac 3.62
Dy (0.5796, 0.9163, 0.7485)  3 Sm 3.56-3.58, 6 Dy 3.57-3.63, 2 Tm 3.60, 1 Ac 3.62
Dy (0.7470, 0.7470, 0.2516)  3 Sm 3.56-3.58, 6 Dy 3.57-3.63, 2 Tm 3.60, 1 Ac 3.62
Dy (0.9163, 0.5796, 0.7485)  3 Sm 3.56-3.58, 6 Dy 3.57-3.63, 2 Tm 3.60, 1 Ac 3.62
Tm (0.3333, 0.6667, 0.0000)  3 Ac 3.59, 3 Tm 3.59, 6 Dy 3.60
Tm (0.6667, 0.3333, 0.0000)  3 Ac 3.59, 3 Tm 3.59, 6 Dy 3.60


Entry 2:
# Sm3Te

Sm3Te after structural relaxation (PBE, Alexandria).

Uncorrected formation energy ... -48 kJ/mol of atoms
Energy above the lowest structure with this stoichiometry ... 181 meV per atom
Symmetry ... Pm-3m, No. 221

a b c (Å): 4.8692 4.8692 4.8692
angles (deg): 90.00 90.00 90.00
Last column: nearest neighbours and their distance in Å.
Sites, in units of the cell vectors:
Sm (0.0000, 0.0000, 0.5000)  4 Te 3.44, 8 Sm 3.44
Sm (0.0000, 0.5000, 0.0000)  4 Te 3.44, 8 Sm 3.44
Sm (0.5000, 0.0000, 0.0000)  4 Te 3.44, 8 Sm 3.44
Te (0.5000, 0.5000, 0.5000)  12 Sm 3.44


Entry 3:
# YPuGaRu

YPuGaRu after structural relaxation (PBE, Alexandria).

ΔH_f (0 K) ... -0.258 eV/atom
Symmetry ... F-43m, No. 216

a b c (Å): 6.9802 6.9802 6.9802
angles (deg): 90.00 90.00 90.00
Last column: nearest neighbours and their distance in Å.
Sites, in units of the cell vectors:
Y (0.0000, 0.0000, 0.0000)  4 Ru 3.02, 4 Ga 3.02
Y (0.0000, 0.5000, 0.5000)  4 Ru 3.02, 4 Ga 3.02
Y (0.5000, 0.0000, 0.5000)  4 Ru 3.02, 4 Ga 3.02
Y (0.5000, 0.5000, 0.0000)  4 Ru 3.02, 4 Ga 3.02
Pu (0.0000, 0.0000, 0.5000)  4 Ru 3.02, 4 Ga 3.02
Pu (0.0000, 0.5000, 0.0000)  4 Ru 3.02, 4 Ga 3.02
Pu (0.5000, 0.0000, 0.0000)  4 Ru 3.02, 4 Ga 3.02
Pu (0.5000, 0.5000, 0.5000)  4 Ru 3.02, 4 Ga 3.02
Ga (0.2500, 0.2500, 0.2500)  4 Pu 3.02, 4 Y 3.02
Ga (0.2500, 0.7500, 0.7500)  4 Pu 3.02, 4 Y 3.02
Ga (0.7500, 0.2500, 0.7500)  4 Pu 3.02, 4 Y 3.02
Ga (0.7500, 0.7500, 0.2500)  4 Pu 3.02, 4 Y 3.02
Ru (0.2500, 0.2500, 0.7500)  4 Pu 3.02, 4 Y 3.02
Ru (0.2500, 0.7500, 0.2500)  4 Pu 3.02, 4 Y 3.02
Ru (0.7500, 0.2500, 0.2500)  4 Pu 3.02, 4 Y 3.02
Ru (0.7500, 0.7500, 0.7500)  4 Pu 3.02, 4 Y 3.02


Entry 4:
# MgF

MgF after structural relaxation (PBE, Alexandria).

Uncorrected formation energy ... -226 kJ/mol of atoms
Energy above the lowest structure with this stoichiometry ... 96 meV per atom
Symmetry ... I-42d, No. 122

a b c (Å): 5.7901 5.7901 7.0218
angles (deg): 90.00 90.00 90.00
Last column: nearest neighbours and their distance in Å.
Sites, in units of the cell vectors:
Mg (0.2184, 0.7500, 0.1250)  3 F 2.01-2.06
Mg (0.2500, 0.2184, 0.8750)  3 F 2.01-2.06
Mg (0.2500, 0.2816, 0.3750)  3 F 2.01-2.06
Mg (0.2816, 0.7500, 0.6250)  3 F 2.01-2.06
Mg (0.7184, 0.2500, 0.6250)  3 F 2.01-2.06
Mg (0.7500, 0.7184, 0.3750)  3 F 2.01-2.06
Mg (0.7500, 0.7816, 0.8750)  3 F 2.01-2.06
Mg (0.7816, 0.2500, 0.1250)  3 F 2.01-2.06
F (0.0650, 0.2500, 0.6250)  3 Mg 2.01-2.06
F (0.2500, 0.5651, 0.8750)  3 Mg 2.01-2.06
F (0.2500, 0.9350, 0.3750)  3 Mg 2.01-2.06
F (0.4350, 0.2500, 0.1250)  3 Mg 2.01-2.06
F (0.5651, 0.7500, 0.1250)  3 Mg 2.01-2.06
F (0.7500, 0.0650, 0.3750)  3 Mg 2.01-2.06
F (0.7500, 0.4350, 0.8750)  3 Mg 2.01-2.06
F (0.9350, 0.7500, 0.6250)  3 Mg 2.01-2.06


Record order is preserved below.
Electronic total energy: -4.54; -4.83; -8.53; -4.08 eV per atom
Record order is preserved below.
Total moment: 0.00; 0.00; 5.00; 0.00 μB/f.u.